{
  "formula": "BaBeRh",
  "functional": "GGA-PBE",
  "state": "optimized geometry",
  "formation_enthalpy_0k_mev_per_atom": 556,
  "relative_energy_mev_per_atom": 912,
  "lattice": [[4.635, 0.000, 0.000], [2.317, 4.014, 0.000], [2.317, 1.338, 3.784]],
  "species": ["Be", "Rh", "Ba"],
  "fractional_positions": [[0.750, 0.750, 0.750], [0.000, 0.000, 0.000], [0.500, 0.500, 0.500]]
}